# 1
A geometry-optimized CePuB structure. Source: Alexandria, functional GGA-PBE.

```
6
Lattice="-1.648 -0.561 3.235 0.069 -4.871 -2.896 5.480 1.157 2.992" Properties=species:S:1:pos:R:3 pbc="T T T"
Pu 0.303 -1.264 2.021
Pu 3.599 -3.011 1.311
Ce 1.015 -3.106 -0.022
Ce 2.887 -1.169 3.354
B 5.047 0.454 2.650
B -1.145 -4.729 0.682
```

## Properties
Formation enthalpy at 0 K = 0.0242 eV per atom
Final energy = -8.957 eV per atom
Crystal system = monoclinic



# 2
A geometry-optimized Th2TlTc2 structure. Source: Alexandria, functional GGA-PBE.

```
5
Lattice="-3.425 0.407 -1.730 1.257 -2.457 -3.065 -0.941 -6.313 4.675" Properties=species:S:1:pos:R:3 pbc="T T T"
Th -1.258 -5.571 1.175
Th -1.851 -2.792 -1.296
Tl 0.000 0.000 0.000
Tc -3.374 -3.621 1.519
Tc -0.991 -2.285 1.426
```

## Properties
Formation enthalpy at 0 K = -0.1239 eV per atom
Final energy = -7.711 eV per atom
Crystal system = orthorhombic



# 3
A geometry-optimized AsPSCl2 structure. Source: Alexandria, functional GGA-PBE.

```
5
Lattice="4.495 0.000 0.000 0.000 4.495 0.000 0.000 0.000 5.443" Properties=species:S:1:pos:R:3 pbc="T T T"
Cl 0.000 2.247 0.000
Cl 2.247 0.000 0.000
P 0.000 0.000 2.721
As 2.247 2.247 2.721
S 0.000 0.000 0.000
```

## Properties
Raw formation energy = 0.75 eV/atom
Distance to the lowest polymorph of the same formula = 0.310 eV per atom
Final energy = -2.826 eV per atom
Crystal system = tetragonal



# 4
A geometry-optimized SrSiPbSe2 structure. Source: Alexandria, functional GGA-PBE.

```
5
Lattice="-2.530 -1.936 -4.448 0.421 -5.844 2.303 -4.837 0.628 2.478" Properties=species:S:1:pos:R:3 pbc="T T T"
Pb 0.000 0.000 0.000
Sr 0.211 -2.922 1.152
Se -2.418 0.314 1.239
Se -1.265 -0.968 -2.224
Si -3.473 -3.576 0.167
```

## Properties
Raw formation energy = 0.56 eV/atom
Final energy = -2.994 eV per atom
Crystal system = tetragonal



# 5
A geometry-optimized Ce2PdRh structure. Source: Alexandria, functional GGA-PBE.

```
4
Lattice="-2.339 0.111 2.630 -1.479 -2.966 -1.190 4.377 -3.810 4.054" Properties=species:S:1:pos:R:3 pbc="T T T"
Rh -1.909 -1.427 0.720
Ce 1.041 -0.907 0.965
Ce 3.336 -2.904 3.089
Pd 0.279 -3.332 2.747
```

## Properties
Formation enthalpy at 0 K = -0.6511 eV per atom
Final energy = -6.754 eV per atom
Crystal system = tetragonal



# 6
A geometry-optimized Ca3PrS4 structure. Source: Alexandria, functional GGA-PBE.

```
8
Lattice="1.515 5.502 0.586 -1.180 0.915 -5.539 -5.574 -1.866 3.850" Properties=species:S:1:pos:R:3 pbc="T T T"
Pr 0.000 0.000 0.000
Ca -3.293 1.129 -2.083
Ca 0.168 3.208 -2.476
Ca -1.946 3.422 0.980
S -2.730 0.678 0.694
S -4.649 4.094 1.666
S -5.997 1.800 -1.396
S -2.509 3.873 -1.797
```

## Properties
Raw formation energy = -2.09 eV/atom
Distance to the lowest polymorph of the same formula = 0.003 eV per atom
Final energy = -5.498 eV per atom
Crystal system = tetragonal



# 7
A geometry-optimized NpBi2Pb structure. Source: Alexandria, functional GGA-PBE.

```
4
Lattice="4.584 0.000 0.000 0.000 5.063 0.000 0.000 0.000 5.063" Properties=species:S:1:pos:R:3 pbc="T T T"
Pb 2.292 0.000 0.000
Bi 0.000 0.000 2.532
Bi 0.000 2.532 0.000
Np 2.292 2.532 2.532
```

## Properties
Formation enthalpy at 0 K = 0.0306 eV per atom
Distance to the lowest polymorph of the same formula = 0.000 eV per atom
Final energy = -6.072 eV per atom
Crystal system = tetragonal



# 8
A geometry-optimized BeTl2Te structure. Source: Alexandria, functional GGA-PBE.

```
4
Lattice="5.895 0.015 0.000 1.989 5.549 0.000 -3.942 -2.782 3.387" Properties=species:S:1:pos:R:3 pbc="T T T"
Te 2.948 0.007 1.694
Be 3.942 2.782 0.000
Tl 0.994 2.775 1.694
Tl 0.000 0.000 0.000
```

## Properties
Raw formation energy = 0.48 eV/atom
Distance to the lowest polymorph of the same formula = 0.460 eV per atom
Final energy = -2.425 eV per atom
Crystal system = tetragonal



# 9
A geometry-optimized Zn2AgSb structure. Source: Alexandria, functional GGA-PBE.

```
4
Lattice="3.923 0.000 0.000 0.000 3.156 -0.075 0.000 2.439 6.257" Properties=species:S:1:pos:R:3 pbc="T T T"
Zn 0.000 2.932 0.173
Zn 0.000 3.021 2.843
Sb 1.961 4.196 4.636
Ag 1.961 1.399 1.545
```

## Properties
Raw formation energy = 0.13 eV/atom
Final energy = -2.249 eV per atom
Crystal system = monoclinic



# 10
A geometry-optimized Ac3Zn2GaPd6 structure. Source: Alexandria, functional GGA-PBE.

```
12
Lattice="-1.808 5.510 1.149 -3.172 -3.463 -3.591 -4.651 -2.982 6.986" Properties=species:S:1:pos:R:3 pbc="T T T"
Pd -2.742 -1.100 0.960
Pd -4.491 -0.821 4.760
Pd -4.270 -2.767 -0.769
Pd -5.140 -0.114 -0.216
Pd -6.889 0.164 3.584
Pd -5.362 1.832 5.313
Ac -5.662 -2.360 2.412
Ac 0.000 0.000 0.000
Ac -3.969 1.425 2.133
Ga -2.326 -1.491 3.493
Zn -6.696 -0.323 6.228
Zn -2.936 -0.612 -1.683
```

## Properties
Formation enthalpy at 0 K = -0.6570 eV per atom
Final energy = -4.745 eV per atom
Crystal system = trigonal



# 11
A geometry-optimized PmYEr5 structure. Source: Alexandria, functional GGA-PBE.

```
14
Lattice="-5.471 3.373 1.927 -5.183 -3.322 2.669 -2.480 1.375 13.385" Properties=species:S:1:pos:R:3 pbc="T T T"
Er -4.807 0.297 11.407
Er -6.044 2.635 5.393
Er -8.385 0.575 9.802
Er -8.326 1.128 6.574
Er -3.632 1.106 4.549
Er -4.749 0.851 8.179
Er -5.976 1.243 14.904
Er -7.158 0.183 3.077
Er -7.089 -1.210 12.588
Er -9.502 0.319 13.432
Y -1.240 0.688 6.693
Y 0.000 0.000 0.000
Pm -7.251 2.551 12.171
Pm -5.882 -1.125 5.810
```

## Properties
Formation enthalpy at 0 K = 0.1924 eV per atom
Distance to the lowest polymorph of the same formula = 0.000 eV per atom
Final energy = -4.669 eV per atom
Crystal system = monoclinic



# 12
A geometry-optimized K2TmPa2Se6 structure. Source: Alexandria, functional GGA-PBE.

```
11
Lattice="7.144 0.007 0.082 -3.525 6.214 0.082 -1.268 -2.179 7.887" Properties=species:S:1:pos:R:3 pbc="T T T"
Tm -0.634 -1.089 3.943
Se 0.563 0.968 2.359
Se 1.788 3.073 5.692
Se 0.630 5.160 2.478
Se -1.823 0.944 5.572
Se 1.721 -1.119 5.572
Se 4.175 3.098 2.478
Pa 2.918 1.007 4.025
Pa -0.567 3.034 4.025
K -1.737 5.173 0.082
K 5.356 1.047 0.082
```

## Properties
Raw formation energy = -1.49 eV/atom
Final energy = -5.723 eV per atom
Crystal system = monoclinic



| no. | DOS(E_F) (states/eV/cell) | M_tot (Bohr magnetons per cell) |
| --- | --- | --- |
| 1 | 10.2 | 11.01 |
| 2 | 6.1 | 0.00 |
| 3 | 1.9 | 0.63 |
| 4 | 4.3 | 1.55 |
| 5 | 9.9 | 1.66 |
| 6 | 2.4 | 0.00 |
| 7 | 13.1 | 4.03 |
| 8 | 1.1 | 0.00 |
| 9 | 1.1 | 0.00 |
| 10 | 7.0 | 0.00 |
| 11 | 16.9 | 0.00 |
| 12 | 12.1 | 3.03 |